A plane-wave DFT calculation with SCAN was carried out for Li5Mn2V3O10 at its PBEsol-relaxed geometry.

Geometry as CIF:
```
data_Li5Mn2V3O10
_chemical_formula_sum 'Li5 Mn2 V3 O10'
_cell_length_a 4.9545
_cell_length_b 5.1231
_cell_length_c 7.7453
_cell_angle_alpha 105.03
_cell_angle_beta 103.44
_cell_angle_gamma 102.18
_space_group_name_H-M_alt 'P 1'
_space_group_IT_number 1
_space_group_name_Hall 'P 1'
loop_
_atom_site_label
_atom_site_type_symbol
_atom_site_fract_x
_atom_site_fract_y
_atom_site_fract_z
Li1 Li 0.0000 0.0000 0.0000
Li2 Li 0.1123 0.2210 0.7325
Li3 Li 0.2910 0.5678 0.0788
Li4 Li 0.7090 0.4322 0.9212
Li5 Li 0.8877 0.7790 0.2675
Mn1 Mn 0.3995 0.8122 0.8143
Mn2 Mn 0.6005 0.1878 0.1857
V1 V 0.2104 0.4036 0.3981
V2 V 0.5000 0.0000 0.5000
V3 V 0.7896 0.5964 0.6019
O1 O 0.0447 0.5930 0.8309
O2 O 0.1640 0.7746 0.5540
O3 O 0.2639 0.0416 0.2669
O4 O 0.3640 0.1991 0.9610
O5 O 0.4458 0.3680 0.6371
O6 O 0.5542 0.6320 0.3629
O7 O 0.6360 0.8009 0.0390
O8 O 0.7361 0.9584 0.7331
O9 O 0.8360 0.2254 0.4460
O10 O 0.9553 0.4070 0.1691
```

ρ: 4.3 g cm⁻³
SG: P-1 (2)
Formation energy without anion corrections: -2.3946 eV per atom